[1]
An optimized crystal structure of TmIn2Pd, computed with GGA-PBEsol.

Cell lengths 10.571, 10.571, 10.571 Å; angles 100.48, 100.48, 129.51 degrees
Sites, in units of the cell vectors:
Tm  0.000  0.000  0.000
Tm  0.089  0.089  0.404
Tm  0.089  0.686  0.000
Tm  0.123  0.402  0.720
Tm  0.402  0.123  0.720
Tm  0.402  0.682  0.280
Tm  0.474  0.474  0.000
Tm  0.682  0.402  0.280
Tm  0.686  0.089  0.000
Tm  0.686  0.686  0.596
In  0.107  0.107  0.741
In  0.107  0.366  0.000
In  0.258  0.875  0.383
In  0.281  0.488  0.491
In  0.281  0.789  0.793
In  0.366  0.107  0.000
In  0.366  0.366  0.259
In  0.488  0.281  0.491
In  0.488  0.996  0.207
In  0.492  0.875  0.617
In  0.567  0.730  0.837
In  0.730  0.567  0.837
In  0.730  0.892  0.163
In  0.789  0.281  0.793
In  0.789  0.996  0.509
In  0.875  0.258  0.383
In  0.875  0.492  0.617
In  0.892  0.730  0.163
In  0.996  0.488  0.207
In  0.996  0.789  0.509
Pd  0.036  0.249  0.213
Pd  0.036  0.823  0.787
Pd  0.125  0.625  0.500
Pd  0.249  0.036  0.213
Pd  0.381  0.381  0.678
Pd  0.381  0.704  0.000
Pd  0.625  0.125  0.500
Pd  0.704  0.381  0.000
Pd  0.704  0.704  0.322
Pd  0.823  0.036  0.787

Output
The total magnetization is 0.000 μB per cell. The volume is 824 Å³ per cell. Its energy relative to the elements is -0.698 eV/atom. The density of states at the Fermi level is 1.6 states/eV/f.u. The value obtained for the calculated total energy is -0.3604 Ry/atom.

[2]
An optimized crystal structure of Y2InPd2, computed with GGA-PBEsol.

Cell lengths 8.640, 8.640, 8.640 Å; angles 154.95, 154.95, 35.71 degrees
Sites, in units of the cell vectors:
Y  0.120  0.120  0.000
Y  0.880  0.880  0.000
In  0.500  0.500  0.000
Pd  0.250  0.750  0.500
Pd  0.750  0.250  0.500

Output
The total magnetization is 0.000 μB per cell. The volume is 115 Å³ per cell. Its energy relative to the elements is -0.545 eV/atom. The density of states at the Fermi level is 2.7 states/eV/f.u. The value obtained for the calculated total energy is -0.4596 Ry/atom.

[3]
An optimized crystal structure of Y2InPd2, computed with GGA-PBEsol.

Cell lengths 7.606, 7.606, 3.671 Å; angles 90.00, 90.00, 90.00 degrees
Sites, in units of the cell vectors:
Y  0.174  0.326  0.000
Y  0.326  0.826  0.000
Y  0.674  0.174  0.000
Y  0.826  0.674  0.000
In  0.000  0.000  0.500
In  0.500  0.500  0.500
Pd  0.128  0.628  0.500
Pd  0.372  0.128  0.500
Pd  0.628  0.872  0.500
Pd  0.872  0.372  0.500

Output
The total magnetization is 0.000 μB per cell. The volume is 212 Å³ per cell. Its energy relative to the elements is -0.880 eV/atom. The density of states at the Fermi level is 3.1 states/eV/f.u. The value obtained for the calculated total energy is -0.4843 Ry/atom.

[4]
An optimized crystal structure of Zn3InPd, computed with GGA-PBEsol.

Cell lengths 4.745, 4.745, 4.745 Å; angles 90.00, 90.00, 90.00 degrees
Sites, in units of the cell vectors:
Zn  0.000  0.000  0.500
Zn  0.000  0.500  0.000
Zn  0.500  0.000  0.000
In  0.500  0.500  0.500
Pd  0.000  0.000  0.000

Output
The total magnetization is 0.000 μB per cell. The volume is 107 Å³ per cell. Its energy relative to the elements is 0.131 eV/atom. The density of states at the Fermi level is 1.7 states/eV/f.u. The value obtained for the calculated total energy is -0.1915 Ry/atom.

[5]
An optimized crystal structure of ZnIn2Pd2, computed with GGA-PBEsol.

Cell lengths 6.875, 6.875, 3.717 Å; angles 90.00, 90.00, 90.00 degrees
Sites, in units of the cell vectors:
Zn  0.000  0.000  0.000
Zn  0.500  0.500  0.000
In  0.155  0.345  0.500
In  0.345  0.845  0.500
In  0.655  0.155  0.500
In  0.845  0.655  0.500
Pd  0.149  0.649  0.000
Pd  0.351  0.149  0.000
Pd  0.649  0.851  0.000
Pd  0.851  0.351  0.000

Output
The total magnetization is 0.000 μB per cell. The volume is 176 Å³ per cell. Its energy relative to the elements is -0.424 eV/atom. The density of states at the Fermi level is 1.4 states/eV/f.u. The value obtained for the calculated total energy is -0.3173 Ry/atom.

[6]
An optimized crystal structure of Zn2InPd2, computed with GGA-PBEsol.

Cell lengths 7.137, 7.137, 3.091 Å; angles 90.00, 90.00, 90.00 degrees
Sites, in units of the cell vectors:
Zn  0.146  0.354  0.000
Zn  0.354  0.854  0.000
Zn  0.646  0.146  0.000
Zn  0.854  0.646  0.000
In  0.000  0.000  0.500
In  0.500  0.500  0.500
Pd  0.148  0.648  0.500
Pd  0.352  0.148  0.500
Pd  0.648  0.852  0.500
Pd  0.852  0.352  0.500

Output
The total magnetization is 0.000 μB per cell. The volume is 157 Å³ per cell. Its energy relative to the elements is -0.410 eV/atom. The density of states at the Fermi level is 2.0 states/eV/f.u. The value obtained for the calculated total energy is -0.2957 Ry/atom.

[7]
An optimized crystal structure of ZnInPd2, computed with GGA-PBEsol.

Cell lengths 4.435, 4.435, 4.435 Å; angles 60.00, 60.00, 60.00 degrees
Sites, in units of the cell vectors:
Zn  0.000  0.000  0.000
In  0.500  0.500  0.500
Pd  0.250  0.250  0.250
Pd  0.750  0.750  0.750

Output
The total magnetization is 0.000 μB per cell. The volume is 62 Å³ per cell. Its energy relative to the elements is -0.528 eV/atom. The density of states at the Fermi level is 1.7 states/eV/f.u. The value obtained for the calculated total energy is -0.3417 Ry/atom.

[8]
An optimized crystal structure of Zr3InPd, computed with GGA-PBEsol.

Cell lengths 4.986, 4.986, 4.986 Å; angles 90.00, 90.00, 90.00 degrees
Sites, in units of the cell vectors:
Zr  0.000  0.000  0.500
Zr  0.000  0.500  0.000
Zr  0.500  0.000  0.000
In  0.500  0.500  0.500
Pd  0.000  0.000  0.000

Output
The total magnetization is 0.000 μB per cell. The volume is 124 Å³ per cell. Its energy relative to the elements is 0.234 eV/atom. The density of states at the Fermi level is 4.5 states/eV/f.u. The value obtained for the calculated total energy is -0.5151 Ry/atom.

[9]
An optimized crystal structure of PmSmIn2, computed with GGA-PBEsol.

Cell lengths 5.331, 5.331, 5.331 Å; angles 60.00, 60.00, 60.00 degrees
Sites, in units of the cell vectors:
Pm  0.000  0.000  0.000
Sm  0.500  0.500  0.500
In  0.250  0.250  0.250
In  0.750  0.750  0.750

Output
The total magnetization is 0.000 μB per cell. The volume is 107 Å³ per cell. Its energy relative to the elements is -0.539 eV/atom. The density of states at the Fermi level is 1.9 states/eV/f.u. The value obtained for the calculated total energy is -0.3372 Ry/atom.

[10]
An optimized crystal structure of Pr32In3Rh19, computed with GGA-PBEsol.

Cell lengths 9.859, 11.694, 11.694 Å; angles 90.76, 90.00, 90.00 degrees
Sites, in units of the cell vectors:
Pr  0.000  0.021  0.021
Pr  0.000  0.313  0.313
Pr  0.000  0.525  0.815
Pr  0.000  0.815  0.525
Pr  0.193  0.251  0.876
Pr  0.193  0.377  0.588
Pr  0.193  0.588  0.377
Pr  0.193  0.876  0.251
Pr  0.194  0.090  0.458
Pr  0.194  0.458  0.090
Pr  0.197  0.749  0.962
Pr  0.197  0.962  0.749
Pr  0.301  0.665  0.665
Pr  0.307  0.169  0.169
Pr  0.500  0.114  0.886
Pr  0.500  0.247  0.456
Pr  0.500  0.389  0.740
Pr  0.500  0.456  0.247
Pr  0.500  0.585  0.973
Pr  0.500  0.740  0.389
Pr  0.500  0.886  0.114
Pr  0.500  0.973  0.585
Pr  0.693  0.169  0.169
Pr  0.699  0.665  0.665
Pr  0.803  0.749  0.962
Pr  0.803  0.962  0.749
Pr  0.806  0.090  0.458
Pr  0.806  0.458  0.090
Pr  0.807  0.251  0.876
Pr  0.807  0.377  0.588
Pr  0.807  0.588  0.377
Pr  0.807  0.876  0.251
In  0.000  0.168  0.667
In  0.000  0.667  0.168
In  0.500  0.837  0.837
Rh  0.000  0.069  0.265
Rh  0.000  0.265  0.069
Rh  0.000  0.570  0.570
Rh  0.000  0.773  0.773
Rh  0.275  0.346  0.346
Rh  0.276  0.495  0.849
Rh  0.276  0.849  0.495
Rh  0.284  0.989  0.989
Rh  0.340  0.175  0.668
Rh  0.340  0.668  0.175
Rh  0.500  0.021  0.327
Rh  0.500  0.327  0.021
Rh  0.500  0.520  0.520
Rh  0.660  0.175  0.668
Rh  0.660  0.668  0.175
Rh  0.716  0.989  0.989
Rh  0.724  0.495  0.849
Rh  0.724  0.849  0.495
Rh  0.725  0.346  0.346

Output
The total magnetization is 0.001 μB per cell. The volume is 1348 Å³ per cell. Its energy relative to the elements is -0.530 eV/atom. The density of states at the Fermi level is 38.9 states/eV/f.u. The value obtained for the calculated total energy is -0.4874 Ry/atom.

[11]
An optimized crystal structure of PrIn2Rh, computed with GGA-PBEsol.

Cell lengths 5.549, 5.549, 7.865 Å; angles 90.00, 90.00, 133.27 degrees
Sites, in units of the cell vectors:
Pr  0.067  0.933  0.750
Pr  0.933  0.067  0.250
In  0.354  0.646  0.551
In  0.354  0.646  0.949
In  0.646  0.354  0.051
In  0.646  0.354  0.449
Rh  0.214  0.786  0.250
Rh  0.786  0.214  0.750

Output
The total magnetization is 0.000 μB per cell. The volume is 176 Å³ per cell. Its energy relative to the elements is -0.625 eV/atom. The density of states at the Fermi level is 2.1 states/eV/f.u. The value obtained for the calculated total energy is -0.4004 Ry/atom.

[12]
An optimized crystal structure of PrSmIn2, computed with GGA-PBEsol.

Cell lengths 5.371, 5.371, 5.371 Å; angles 60.00, 60.00, 60.00 degrees
Sites, in units of the cell vectors:
Pr  0.000  0.000  0.000
Sm  0.500  0.500  0.500
In  0.250  0.250  0.250
In  0.750  0.750  0.750

Output
The total magnetization is 0.000 μB per cell. The volume is 110 Å³ per cell. Its energy relative to the elements is -0.534 eV/atom. The density of states at the Fermi level is 1.9 states/eV/f.u. The value obtained for the calculated total energy is -0.3377 Ry/atom.